(1)
An optimized crystal structure of TmTlCdSe3, computed with PBE.

space group: No. 62
V: 26.001 Å³/atom
VASP energy: -4.002 eV per atom

```
TmTlCdSe3
1.0
8.163 0.000 0.000
0.000 4.474 0.000
0.000 0.000 17.085
Tm Tl Cd Se
4 4 4 12
Direct
0.236 0.250 0.038 Tm
0.264 0.750 0.538 Tm
0.736 0.250 0.462 Tm
0.764 0.750 0.962 Tm
0.051 0.250 0.805 Tl
0.449 0.750 0.305 Tl
0.551 0.250 0.695 Tl
0.949 0.750 0.195 Tl
0.094 0.250 0.344 Cd
0.406 0.750 0.844 Cd
0.594 0.250 0.156 Cd
0.906 0.750 0.656 Cd
0.003 0.250 0.577 Se
0.126 0.750 0.949 Se
0.238 0.250 0.203 Se
0.262 0.750 0.703 Se
0.374 0.250 0.449 Se
0.497 0.750 0.077 Se
0.503 0.250 0.923 Se
0.626 0.750 0.551 Se
0.738 0.250 0.297 Se
0.762 0.750 0.797 Se
0.874 0.250 0.051 Se
0.997 0.750 0.423 Se
```

---

(2)
An optimized crystal structure of TmTlCdSe3, computed with PBE.

space group: No. 62
V: 29.114 Å³/atom
VASP energy: -4.096 eV per atom

```
TmTlCdSe3
1.0
14.743 0.000 0.000
0.000 4.207 0.000
0.000 0.000 11.266
Tm Tl Cd Se
4 4 4 12
Direct
0.027 0.250 0.151 Tm
0.473 0.750 0.651 Tm
0.527 0.250 0.349 Tm
0.973 0.750 0.849 Tm
0.246 0.250 0.452 Tl
0.254 0.750 0.952 Tl
0.746 0.250 0.048 Tl
0.754 0.750 0.548 Tl
0.023 0.750 0.399 Cd
0.477 0.250 0.899 Cd
0.523 0.750 0.101 Cd
0.977 0.250 0.601 Cd
0.089 0.750 0.629 Se
0.093 0.250 0.920 Se
0.146 0.750 0.229 Se
0.354 0.250 0.729 Se
0.407 0.750 0.420 Se
0.411 0.250 0.129 Se
0.589 0.750 0.871 Se
0.593 0.250 0.580 Se
0.646 0.750 0.271 Se
0.854 0.250 0.771 Se
0.907 0.750 0.080 Se
0.911 0.250 0.371 Se
```

---

(3)
An optimized crystal structure of TmTlCdSe3, computed with PBE.

space group: No. 62
V: 27.968 Å³/atom
VASP energy: -4.043 eV per atom

```
TmTlCdSe3
1.0
12.430 0.000 0.000
0.000 4.229 0.000
0.000 0.000 12.770
Tm Tl Cd Se
4 4 4 12
Direct
0.034 0.250 0.164 Tm
0.466 0.750 0.664 Tm
0.534 0.250 0.336 Tm
0.966 0.750 0.836 Tm
0.150 0.250 0.505 Tl
0.350 0.750 0.005 Tl
0.650 0.250 0.995 Tl
0.850 0.750 0.495 Tl
0.249 0.250 0.799 Cd
0.251 0.750 0.299 Cd
0.749 0.250 0.701 Cd
0.751 0.750 0.201 Cd
0.035 0.750 0.321 Se
0.088 0.250 0.934 Se
0.241 0.750 0.670 Se
0.259 0.250 0.170 Se
0.412 0.750 0.434 Se
0.465 0.250 0.821 Se
0.535 0.750 0.179 Se
0.588 0.250 0.566 Se
0.741 0.750 0.830 Se
0.759 0.250 0.330 Se
0.912 0.750 0.066 Se
0.965 0.250 0.679 Se
```

---

(4)
An optimized crystal structure of TmTlCdSe3, computed with PBE.

space group: No. 63
V: 28.358 Å³/atom
VASP energy: -4.091 eV per atom

```
TmTlCdSe3
1.0
2.094 -7.371 0.000
2.094 7.371 0.000
0.000 0.000 11.021
Tm Tl Cd Se
2 2 2 6
Direct
0.000 0.000 0.000 Tm
0.000 0.000 0.500 Tm
0.253 0.747 0.750 Tl
0.747 0.253 0.250 Tl
0.455 0.545 0.250 Cd
0.545 0.455 0.750 Cd
0.070 0.930 0.250 Se
0.369 0.631 0.043 Se
0.369 0.631 0.457 Se
0.631 0.369 0.543 Se
0.631 0.369 0.957 Se
0.930 0.070 0.750 Se
```

---

(5)
An optimized crystal structure of TmTlCdSe3, computed with PBE.

space group: No. 11
V: 29.473 Å³/atom
VASP energy: -4.090 eV per atom

```
TmTlCdSe3
1.0
8.389 0.000 0.000
0.000 4.205 0.000
-3.293 0.000 10.025
Tm Tl Cd Se
2 2 2 6
Direct
0.185 0.250 0.134 Tm
0.815 0.750 0.866 Tm
0.246 0.750 0.737 Tl
0.754 0.250 0.263 Tl
0.426 0.750 0.386 Cd
0.574 0.250 0.614 Cd
0.044 0.250 0.859 Se
0.251 0.250 0.433 Se
0.418 0.750 0.135 Se
0.582 0.250 0.865 Se
0.749 0.750 0.567 Se
0.956 0.750 0.141 Se
```

---

(6)
An optimized crystal structure of TmTlCdSe3, computed with PBE.

space group: No. 62
V: 28.164 Å³/atom
VASP energy: -4.090 eV per atom

```
TmTlCdSe3
1.0
11.028 0.000 0.000
0.000 4.200 0.000
0.000 0.000 14.594
Tm Tl Cd Se
4 4 4 12
Direct
0.008 0.250 0.248 Tm
0.492 0.750 0.748 Tm
0.508 0.250 0.252 Tm
0.992 0.750 0.752 Tm
0.242 0.750 0.497 Tl
0.258 0.250 0.997 Tl
0.742 0.750 0.003 Tl
0.758 0.250 0.503 Tl
0.243 0.250 0.705 Cd
0.257 0.750 0.205 Cd
0.743 0.250 0.795 Cd
0.757 0.750 0.295 Cd
0.034 0.250 0.621 Se
0.051 0.750 0.118 Se
0.242 0.750 0.821 Se
0.258 0.250 0.321 Se
0.449 0.250 0.618 Se
0.466 0.750 0.121 Se
0.534 0.250 0.879 Se
0.551 0.750 0.382 Se
0.742 0.750 0.679 Se
0.758 0.250 0.179 Se
0.949 0.250 0.882 Se
0.966 0.750 0.379 Se
```

---

(7)
An optimized crystal structure of ZrTlCdSe3, computed with PBE.

space group: No. 11
V: 27.494 Å³/atom
VASP energy: -4.503 eV per atom

```
ZrTlCdSe3
1.0
8.142 0.000 0.000
0.000 3.963 0.000
-4.008 0.000 10.224
Zr Tl Cd Se
2 2 2 6
Direct
0.034 0.250 0.375 Zr
0.966 0.750 0.625 Zr
0.481 0.250 0.205 Tl
0.519 0.750 0.795 Tl
0.052 0.750 0.119 Cd
0.948 0.250 0.881 Cd
0.185 0.750 0.918 Se
0.202 0.250 0.632 Se
0.270 0.750 0.362 Se
0.730 0.250 0.638 Se
0.798 0.750 0.368 Se
0.815 0.250 0.082 Se
```

---

(8)
An optimized crystal structure of ZrTlCdSe3, computed with PBE.

space group: No. 62
V: 26.663 Å³/atom
VASP energy: -4.445 eV per atom

```
ZrTlCdSe3
1.0
10.719 0.000 0.000
0.000 3.962 0.000
0.000 0.000 15.068
Zr Tl Cd Se
4 4 4 12
Direct
0.005 0.250 0.250 Zr
0.495 0.750 0.750 Zr
0.505 0.250 0.250 Zr
0.995 0.750 0.750 Zr
0.249 0.750 0.004 Tl
0.251 0.250 0.504 Tl
0.749 0.750 0.496 Tl
0.751 0.250 0.996 Tl
0.246 0.250 0.801 Cd
0.254 0.750 0.301 Cd
0.746 0.250 0.699 Cd
0.754 0.750 0.199 Cd
0.027 0.250 0.877 Se
0.035 0.750 0.378 Se
0.245 0.750 0.679 Se
0.255 0.250 0.179 Se
0.465 0.250 0.878 Se
0.473 0.750 0.377 Se
0.527 0.250 0.623 Se
0.535 0.750 0.122 Se
0.745 0.750 0.821 Se
0.755 0.250 0.321 Se
0.965 0.250 0.622 Se
0.973 0.750 0.123 Se
```

---

Copy entry 6 word for word.
An optimized crystal structure of TmTlCdSe3, computed with PBE.

space group: No. 62
V: 28.164 Å³/atom
VASP energy: -4.090 eV per atom

```
TmTlCdSe3
1.0
11.028 0.000 0.000
0.000 4.200 0.000
0.000 0.000 14.594
Tm Tl Cd Se
4 4 4 12
Direct
0.008 0.250 0.248 Tm
0.492 0.750 0.748 Tm
0.508 0.250 0.252 Tm
0.992 0.750 0.752 Tm
0.242 0.750 0.497 Tl
0.258 0.250 0.997 Tl
0.742 0.750 0.003 Tl
0.758 0.250 0.503 Tl
0.243 0.250 0.705 Cd
0.257 0.750 0.205 Cd
0.743 0.250 0.795 Cd
0.757 0.750 0.295 Cd
0.034 0.250 0.621 Se
0.051 0.750 0.118 Se
0.242 0.750 0.821 Se
0.258 0.250 0.321 Se
0.449 0.250 0.618 Se
0.466 0.750 0.121 Se
0.534 0.250 0.879 Se
0.551 0.750 0.382 Se
0.742 0.750 0.679 Se
0.758 0.250 0.179 Se
0.949 0.250 0.882 Se
0.966 0.750 0.379 Se
```

---

The lowest VASP energy belongs to which entry? number 7

---

What is the VASP energy in the fourth record? -4.091 eV per atom